Entry 1:
Density functional theory data (PBE) for crystalline NdGe2Pd7Pb2 at its relaxed geometry.

Properties
Energy relative to the elements, meV/atom: -424

POSCAR file:
```
NdGe2Pd7Pb2
1.0
2.930 -2.895 0.000
2.930 2.895 0.000
-2.019 0.000 14.156
Nd Ge Pd Pb
1 2 7 2
direct
0.000 0.000 0.000
0.411 0.411 0.746
0.589 0.589 0.254
0.055 0.554 0.155
0.369 0.369 0.572
0.446 0.945 0.845
0.500 0.500 0.000
0.554 0.055 0.155
0.631 0.631 0.428
0.945 0.446 0.845
0.110 0.110 0.381
0.890 0.890 0.619
```


Entry 2:
Density functional theory data (PBE) for crystalline Nd2Ge3Pt4Pb at its relaxed geometry.

Properties
Energy relative to the elements, meV/atom: -796

POSCAR file:
```
Nd2Ge3Pt4Pb
1.0
4.373 0.000 0.000
0.000 4.373 0.000
0.000 0.000 10.820
Nd Ge Pt Pb
2 3 4 1
direct
0.000 0.500 0.234
0.500 0.000 0.766
0.000 0.500 0.879
0.500 0.000 0.121
0.500 0.500 0.500
0.000 0.000 0.000
0.000 0.500 0.655
0.500 0.000 0.345
0.500 0.500 0.000
0.000 0.000 0.500
```


Entry 3:
Density functional theory data (PBE) for crystalline Nd4GePbSe2 at its relaxed geometry.

Properties
E_form (uncorrected), eV per atom: -1.274

POSCAR file:
```
Nd4GePbSe2
1.0
7.551 0.000 0.000
0.000 4.322 0.000
-2.490 0.000 7.153
Nd Ge Pb Se
4 1 1 2
direct
0.244 0.000 0.237
0.254 0.500 0.761
0.746 0.500 0.239
0.756 0.000 0.763
0.500 0.000 0.000
0.500 0.500 0.500
0.000 0.000 0.500
0.000 0.500 0.000
```


Entry 4:
Density functional theory data (PBE) for crystalline Nd6Ge2PbSe3 at its relaxed geometry.

Properties
E_form (uncorrected), eV per atom: -1.317

POSCAR file:
```
Nd6Ge2PbSe3
1.0
9.446 -2.155 0.000
9.446 2.155 0.000
-2.022 0.000 8.476
Nd Ge Pb Se
6 2 1 3
direct
0.003 0.003 0.263
0.329 0.329 0.905
0.330 0.330 0.423
0.670 0.670 0.577
0.671 0.671 0.095
0.997 0.997 0.737
0.167 0.167 0.334
0.833 0.833 0.666
0.500 0.500 0.000
0.166 0.166 0.832
0.500 0.500 0.500
0.834 0.834 0.168
```


Entry 5:
Density functional theory data (PBE) for crystalline Nd8Ge3Te4Pb at its relaxed geometry.

Properties
E_form (uncorrected), eV per atom: -1.160

POSCAR file:
```
Nd8Ge3Te4Pb
1.0
4.432 2.559 7.350
-4.432 2.559 7.350
0.000 -5.117 7.350
Nd Ge Te Pb
8 3 4 1
direct
0.234 0.748 0.748
0.241 0.241 0.241
0.252 0.252 0.766
0.252 0.766 0.252
0.748 0.234 0.748
0.748 0.748 0.234
0.759 0.759 0.759
0.766 0.252 0.252
0.000 0.000 0.500
0.000 0.500 0.000
0.500 0.000 0.000
0.000 0.000 0.000
0.000 0.500 0.500
0.500 0.000 0.500
0.500 0.500 0.000
0.500 0.500 0.500
```


Entry 6:
Density functional theory data (PBE) for crystalline Nd6Ge2Te3Pb at its relaxed geometry.

Properties
E_form (uncorrected), eV per atom: -1.148

POSCAR file:
```
Nd6Ge2Te3Pb
1.0
9.756 -2.216 0.000
9.756 2.216 0.000
-2.158 0.000 8.735
Nd Ge Te Pb
6 2 3 1
direct
0.008 0.008 0.253
0.327 0.327 0.431
0.332 0.332 0.896
0.668 0.668 0.104
0.673 0.673 0.569
0.992 0.992 0.747
0.168 0.168 0.335
0.832 0.832 0.665
0.164 0.164 0.832
0.500 0.500 0.500
0.836 0.836 0.168
0.500 0.500 0.000
```


Entry 7:
Density functional theory data (PBE) for crystalline Nd4GeTe2Pb at its relaxed geometry.

Properties
E_form (uncorrected), eV per atom: -1.111

POSCAR file:
```
Nd4GeTe2Pb
1.0
7.783 0.000 0.000
0.000 4.456 0.000
-2.560 0.000 7.376
Nd Ge Te Pb
4 1 2 1
direct
0.233 0.000 0.229
0.243 0.500 0.762
0.757 0.500 0.238
0.767 0.000 0.771
0.000 0.500 0.000
0.000 0.000 0.500
0.500 0.500 0.500
0.500 0.000 0.000
```


Entry 8:
Density functional theory data (PBE) for crystalline NdGe3Pd at its relaxed geometry.

Properties
Energy relative to the elements, meV/atom: -547

POSCAR file:
```
NdGe3Pd
1.0
5.705 0.000 0.000
0.000 6.043 0.000
-0.031 0.000 5.841
Nd Ge Pd
2 6 2
direct
0.128 0.250 0.274
0.872 0.750 0.726
0.061 0.750 0.198
0.361 0.030 0.813
0.361 0.470 0.813
0.639 0.530 0.187
0.639 0.970 0.187
0.939 0.250 0.802
0.378 0.750 0.493
0.622 0.250 0.507
```


Entry 9:
Density functional theory data (PBE) for crystalline Nd2GePd6 at its relaxed geometry.

Properties
Energy relative to the elements, meV/atom: -761

POSCAR file:
```
Nd2GePd6
1.0
4.970 -2.886 0.000
4.970 2.886 0.000
-1.489 0.000 5.952
Nd Ge Pd
2 1 6
direct
0.142 0.142 0.335
0.858 0.858 0.665
0.500 0.500 0.500
0.109 0.626 0.186
0.374 0.891 0.814
0.375 0.375 0.802
0.625 0.625 0.198
0.626 0.109 0.186
0.891 0.374 0.814
```


Entry 10:
Density functional theory data (PBE) for crystalline Nd3Ge2Pd6 at its relaxed geometry.

Properties
Energy relative to the elements, meV/atom: -783

POSCAR file:
```
Nd3Ge2Pd6
1.0
-4.788 4.788 4.788
4.788 -4.788 4.788
4.788 4.788 -4.788
Nd Ge Pd
6 4 12
direct
0.000 0.287 0.287
0.000 0.713 0.713
0.287 0.000 0.287
0.287 0.287 0.000
0.713 0.000 0.713
0.713 0.713 0.000
0.000 0.000 0.500
0.000 0.500 0.000
0.500 0.000 0.000
0.500 0.500 0.500
0.000 0.329 0.671
0.000 0.671 0.329
0.329 0.000 0.671
0.329 0.329 0.659
0.329 0.659 0.329
0.329 0.671 0.000
0.341 0.671 0.671
0.659 0.329 0.329
0.671 0.000 0.329
0.671 0.329 0.000
0.671 0.341 0.671
0.671 0.671 0.341
```


Entry 11:
Density functional theory data (PBE) for crystalline NdGe3Pd10 at its relaxed geometry.

Properties
Energy relative to the elements, meV/atom: -533

POSCAR file:
```
NdGe3Pd10
1.0
0.000 6.255 6.255
6.255 0.000 6.255
6.255 6.255 0.000
Nd Ge Pd
2 6 20
direct
0.250 0.250 0.250
0.750 0.750 0.750
0.235 0.235 0.765
0.235 0.765 0.235
0.235 0.765 0.765
0.765 0.235 0.235
0.765 0.235 0.765
0.765 0.765 0.235
0.116 0.116 0.116
0.116 0.116 0.651
0.116 0.651 0.116
0.152 0.500 0.500
0.152 0.500 0.848
0.152 0.848 0.500
0.349 0.884 0.884
0.500 0.152 0.500
0.500 0.152 0.848
0.500 0.500 0.152
0.500 0.500 0.848
0.500 0.848 0.152
0.500 0.848 0.500
0.651 0.116 0.116
0.848 0.152 0.500
0.848 0.500 0.152
0.848 0.500 0.500
0.884 0.349 0.884
0.884 0.884 0.349
0.884 0.884 0.884
```


Entry 12:
Density functional theory data (PBE) for crystalline NdGe3Pd2 at its relaxed geometry.

Properties
Energy relative to the elements, meV/atom: -529

POSCAR file:
```
NdGe3Pd2
1.0
4.134 -4.806 0.000
4.134 4.806 0.000
0.000 0.000 6.178
Nd Ge Pd
2 6 4
direct
0.191 0.809 0.750
0.809 0.191 0.250
0.026 0.278 0.750
0.278 0.026 0.250
0.360 0.640 0.250
0.640 0.360 0.750
0.722 0.974 0.750
0.974 0.722 0.250
0.325 0.325 0.000
0.325 0.325 0.500
0.675 0.675 0.000
0.675 0.675 0.500
```


Entry 13:
Density functional theory data (PBE) for crystalline NdGe4Pd2 at its relaxed geometry.

Properties
Energy relative to the elements, meV/atom: -534

POSCAR file:
```
NdGe4Pd2
1.0
17.518 0.000 0.000
0.000 4.427 0.000
0.000 0.000 6.845
Nd Ge Pd
4 16 8
direct
0.142 0.250 0.016
0.358 0.750 0.516
0.642 0.250 0.484
0.858 0.750 0.984
0.037 0.750 0.854
0.063 0.250 0.469
0.178 0.750 0.327
0.193 0.750 0.733
0.307 0.250 0.233
0.322 0.250 0.827
0.437 0.750 0.969
0.463 0.250 0.354
0.537 0.750 0.646
0.563 0.250 0.031
0.678 0.750 0.173
0.693 0.750 0.767
0.807 0.250 0.267
0.822 0.250 0.673
0.937 0.750 0.531
0.963 0.250 0.146
0.029 0.750 0.237
0.211 0.250 0.539
0.289 0.750 0.039
0.471 0.250 0.737
0.529 0.750 0.263
0.711 0.250 0.961
0.789 0.750 0.461
0.971 0.250 0.763
```


Entry 14:
Density functional theory data (PBE) for crystalline Nd3Ge2Pd3 at its relaxed geometry.

Properties
Energy relative to the elements, meV/atom: -843

POSCAR file:
```
Nd3Ge2Pd3
1.0
2.207 -5.312 0.000
2.207 5.312 0.000
0.000 0.000 15.148
Nd Ge Pd
6 4 6
direct
0.085 0.915 0.603
0.085 0.915 0.897
0.379 0.621 0.750
0.621 0.379 0.250
0.915 0.085 0.103
0.915 0.085 0.397
0.205 0.795 0.104
0.205 0.795 0.396
0.795 0.205 0.604
0.795 0.205 0.896
0.332 0.668 0.250
0.373 0.627 0.538
0.373 0.627 0.962
0.627 0.373 0.038
0.627 0.373 0.462
0.668 0.332 0.750
```


Entry 15:
Density functional theory data (PBE) for crystalline NdGe2Pd5 at its relaxed geometry.

Properties
Energy relative to the elements, meV/atom: -668

POSCAR file:
```
NdGe2Pd5
1.0
-1.978 3.635 4.949
1.978 -3.635 4.949
1.978 3.635 -4.949
Nd Ge Pd
1 2 5
direct
0.000 0.000 0.000
0.251 0.751 0.500
0.749 0.249 0.500
0.159 0.353 0.806
0.452 0.647 0.806
0.500 0.000 0.500
0.548 0.353 0.194
0.841 0.647 0.194
```


Entry 16:
Density functional theory data (PBE) for crystalline Nd2Ge3Pd2 at its relaxed geometry.

Properties
Energy relative to the elements, meV/atom: -720

POSCAR file:
```
Nd2Ge3Pd2
1.0
5.178 -2.197 0.000
5.178 2.197 0.000
-2.187 0.000 6.373
Nd Ge Pd
2 3 2
direct
0.153 0.153 0.283
0.847 0.847 0.717
0.393 0.393 0.058
0.500 0.500 0.500
0.607 0.607 0.942
0.146 0.146 0.767
0.854 0.854 0.233
```


Entry 17:
Density functional theory data (PBE) for crystalline Nd2Ge2Pd5 at its relaxed geometry.

Properties
Energy relative to the elements, meV/atom: -807

POSCAR file:
```
Nd2Ge2Pd5
1.0
4.311 0.000 0.000
0.000 4.311 0.000
0.000 0.000 9.166
Nd Ge Pd
2 2 5
direct
0.000 0.000 0.000
0.000 0.000 0.500
0.500 0.500 0.137
0.500 0.500 0.863
0.000 0.500 0.274
0.000 0.500 0.726
0.500 0.000 0.274
0.500 0.000 0.726
0.500 0.500 0.500
```


Entry 18:
Density functional theory data (PBE) for crystalline Nd3GePd at its relaxed geometry.

Properties
Energy relative to the elements, meV/atom: -595

POSCAR file:
```
Nd3GePd
1.0
7.658 -2.149 0.000
7.658 2.149 0.000
-0.057 0.000 8.409
Nd Ge Pd
6 2 2
direct
0.044 0.044 0.177
0.243 0.243 0.810
0.398 0.398 0.437
0.602 0.602 0.563
0.757 0.757 0.190
0.956 0.956 0.823
0.389 0.389 0.068
0.611 0.611 0.932
0.202 0.202 0.423
0.798 0.798 0.577
```


Entry 19:
Density functional theory data (PBE) for crystalline Nd3Ge8Pd3 at its relaxed geometry.

Properties
Energy relative to the elements, meV/atom: -583

POSCAR file:
```
Nd3Ge8Pd3
1.0
8.148 -2.248 0.000
8.148 2.248 0.000
-4.374 0.000 7.769
Nd Ge Pd
3 8 3
direct
0.000 0.000 0.000
0.291 0.291 0.315
0.709 0.709 0.685
0.123 0.123 0.406
0.163 0.163 0.885
0.365 0.365 0.727
0.481 0.481 0.301
0.519 0.519 0.699
0.635 0.635 0.273
0.837 0.837 0.115
0.877 0.877 0.594
0.000 0.000 0.500
0.344 0.344 0.986
0.656 0.656 0.014
```